<1>
A plane-wave DFT calculation with PBE was carried out for a geometry-optimized In2CuW structure.

- Calculated volume: 18.230 Å³/atom
- Density of states at the Fermi level: 1.424 states/eV/cell
- Symmetry: R-3m, No. 166

extended XYZ file:
```
4
Lattice="-4.271 -1.008 -8.287 -5.088 -3.617 -6.997 -6.690 -1.107 -6.477" Properties=species:S:1:pos:R:3 pbc="T T T"
Cu -12.036 -4.300 -16.320
W -4.012 -1.433 -5.440
In -0.065 -0.023 -0.089
In -7.959 -2.843 -10.791
```

<2>
A plane-wave DFT calculation with PBE was carried out for a geometry-optimized In2CuW structure.

- Calculated volume: 19.154 Å³/atom
- Density of states at the Fermi level: 5.554 states/eV/cell
- Symmetry: I-42d, No. 122

extended XYZ file:
```
8
Lattice="7.323 0.000 0.000 0.000 7.323 0.000 3.662 3.662 2.857" Properties=species:S:1:pos:R:3 pbc="T T T"
In 5.264 1.831 0.714
In 9.154 8.926 2.143
In 2.059 5.492 0.714
In 5.492 5.720 2.143
W 7.323 3.662 1.429
W 0.000 0.000 0.000
Cu 3.662 7.323 1.429
Cu 3.662 3.662 0.000
```

Which structure above is the least stable? It is <2>.